Crystalline CsCO3 at its relaxed geometry. Source: Alexandria, functional PBE-GGA.

Structure (POSCAR):
```
CsCO3
1.0
7.161 0.000 0.000
3.581 6.202 0.000
3.581 2.067 6.936
Cs C O
2 2 6
Direct
0.398 0.398 0.807 Cs
0.602 0.602 0.193 Cs
0.242 0.242 0.274 C
0.758 0.758 0.726 C
0.958 0.617 0.730 O
0.695 0.958 0.730 O
0.383 0.305 0.270 O
0.305 0.042 0.270 O
0.042 0.383 0.270 O
0.617 0.695 0.730 O
```

Computed properties:
raw formation energy: -1.363 eV per atom
spin magnetization: 1.000 μB per formula unit
space-group type: R-3